A plane-wave DFT calculation with GGA+U was carried out for crystalline KNiF2 at its relaxed geometry.

Structure (POSCAR):
```
KNiF2
1.0
-2.495 2.495 5.935
2.495 -2.495 5.935
2.495 2.495 -5.935
K Ni F
2 2 4
direct
0.000 0.000 0.000 K
0.750 0.250 0.500 K
0.250 0.750 0.500 Ni
0.500 0.500 0.000 Ni
0.210 0.625 0.085 F
0.375 0.460 0.585 F
0.540 0.125 0.915 F
0.875 0.790 0.415 F
```

Space-group type: I-42d
Crystal system: tetragonal
Uncorrected energy: -28.7 eV/cell
D(E_F): 0.00 states/eV/f.u.